Entry 1:
The following is a DFT calculation (PBE-GGA) of an optimized crystal structure of CaDy3P.

abc: 5.435 5.435 5.435
angles: 90.00 90.00 90.00
Space group Pm-3m (No. 221)
Inequivalent atoms, fractional coordinates:
Ca1 0.000 0.000 0.000 [1 per cell]
Dy1 0.000 0.500 0.500 [3 per cell]
P1 0.500 0.500 0.500 [1 per cell]

Summary:
- DFT total energy (eV/atom) = -4.690

=====

Entry 2:
The following is a DFT calculation (PBE-GGA) of an optimized crystal structure of Nd2ThTl.

abc: 7.911 7.911 7.911
angles: 90.00 90.00 90.00
Space group Fm-3m (No. 225)
Inequivalent atoms, fractional coordinates:
Nd1 0.250 0.250 0.250 [8 per cell]
Th1 0.000 0.000 0.000 [4 per cell]
Tl1 0.000 0.000 0.500 [4 per cell]

Summary:
- DFT total energy (eV/atom) = -4.797

=====

Entry 3:
The following is a DFT calculation (PBE-GGA) of an optimized crystal structure of Y2FeCo.

abc: 7.355 7.355 6.098
angles: 90.00 90.00 90.00
Space group I-42d (No. 122)
Inequivalent atoms, fractional coordinates:
Y1 0.227 0.250 0.125 [8 per cell]
Fe1 0.000 0.000 0.500 [4 per cell]
Co1 0.000 0.000 0.000 [4 per cell]

Summary:
- DFT total energy (eV/atom) = -6.689

=====

no.,ΔH_f (0 K) (eV/atom)
1,-0.446
2,0.034
3,0.435